Entry from the Alexandria database: a geometry-optimized BaTlCr structure (PBEsol).

Structure (CIF):
```
data_BaTlCr
_chemical_formula_sum 'Ba4 Tl4 Cr4'
_symmetry_space_group_name_H-M 'F -4 3 m'
_symmetry_Int_Tables_number 216
_symmetry_space_group_name_Hall 'F -4 2 3'
_cell_length_a 7.2030
_cell_length_b 7.2030
_cell_length_c 7.2030
_cell_angle_alpha 90.00
_cell_angle_beta 90.00
_cell_angle_gamma 90.00
loop_
_atom_site_label
_atom_site_fract_x
_atom_site_fract_y
_atom_site_fract_z
_atom_site_occupancy
Ba1 0.0000 0.0000 0.0000 1
Tl1 0.0000 0.0000 0.5000 1
Cr1 0.2500 0.2500 0.7500 1
```

Total moment   3.701 μB/f.u.
Volume   31.143 A^3/atom
Distance to the lowest polymorph of the same formula   182 meV/atom
D(E_F)   8.64 states/eV per cell